VASP calculation (PBE+U) on K2Zn2NiO4 after structural relaxation.

Properties
Uncorrected energy = -4.25 eV per atom
Volume = 14.6 Å³/atom

Unit cell a=13.9651 b=3.1844 c=6.1292 alpha=90.00 beta=105.77 gamma=90.00
Last column: nearest neighbours and their distance in Å.
Space group C2/m (No. 12)
One atom of each set of equivalent atoms:
K: 0.1244 0.0000 0.0243  7 O 2.78-3.05
Zn: 0.1714 0.5000 0.5160  4 O 1.98-2.15
Ni: 0.0000 0.0000 0.5000  4 O 2.07
O: 0.0332 0.5000 0.3185  1 Zn 1.98, 2 Ni 2.07
O: 0.2290 0.0000 0.6970  3 Zn 1.98-2.15